The following is a DFT calculation (PBE with a Hubbard U) of an optimized crystal structure of K3VGe2O8.

Computed properties:
Uncorrected energy in Ry/atom: -0.4379

```
K3VGe2O8
1.0
-3.1065 4.4765 1.2521
0.2228 -4.3255 3.5352
6.1461 3.2583 3.5993
K V Ge O
3 1 2 8
direct
0.3333 0.6667 0.7364 K
0.6667 0.3333 0.2636 K
0.0000 0.0000 0.0000 K
0.0000 0.0000 0.5000 V
0.3333 0.6667 0.2770 Ge
0.6667 0.3333 0.7230 Ge
0.3333 0.6667 0.0605 O
0.6667 0.3333 0.9395 O
0.1598 0.8402 0.3583 O
0.8402 0.1598 0.6417 O
0.1598 0.3195 0.3583 O
0.8402 0.6805 0.6417 O
0.6805 0.8402 0.3583 O
0.3195 0.1598 0.6417 O
```